# 1
Below is crystalline CuSiI2O at its relaxed geometry, with properties calculated at the GGA-PBE level.

Values from the calculation:
Its uncorrected formation energy is 1.58 eV/f.u. The value obtained for the density of states at the Fermi level is 5.0 states/eV/f.u. The energy relative to the lowest polymorph listed for this composition comes out at 463.2 meV/atom.

Lattice parameters (Å, degrees): 5.5436 5.5436 3.6606 90.00 90.00 90.00
Last column: magnetic moment on the atom in μB.
Element x y z (fractional)
Cu (0.0000, 0.0000, 0.0000)  0.21
Si (0.5000, 0.5000, 0.5000)  -0.01
I (0.5000, 0.0000, 0.0000)  0.03
I (0.0000, 0.5000, 0.0000)  0.03
O (0.0000, 0.0000, 0.5000)  0.31

# 2
Below is crystalline CuSiI2O at its relaxed geometry, with properties calculated at the GGA-PBE level.

Values from the calculation:
Its uncorrected formation energy is -0.73 eV/f.u. The value obtained for the density of states at the Fermi level is 1.4 states/eV/f.u. The energy relative to the lowest polymorph listed for this composition comes out at 0.0 meV/atom.

Lattice parameters (Å, degrees): 5.5573 5.5573 3.5169 90.00 90.00 90.00
Element x y z (fractional)
I (0.5000, 0.0000, 0.0000)
I (0.0000, 0.5000, 0.0000)
Si (0.0000, 0.0000, 0.0000)
O (0.0000, 0.0000, 0.5000)
Cu (0.5000, 0.5000, 0.5000)

# 3
Below is crystalline CuSnI2O at its relaxed geometry, with properties calculated at the GGA-PBE level.

Values from the calculation:
Its uncorrected formation energy is -0.42 eV/f.u. The value obtained for the density of states at the Fermi level is 3.7 states/eV/f.u. The energy relative to the lowest polymorph listed for this composition comes out at 0.0 meV/atom.

Lattice parameters (Å, degrees): 5.8003 5.8003 3.6902 90.00 90.00 90.00
Last column: magnetic moment on the atom in μB.
Element x y z (fractional)
Cu (0.0000, 0.0000, 0.0000)  0.30
O (0.0000, 0.0000, 0.5000)  0.38
I (0.5000, 0.0000, 0.0000)  0.02
I (0.0000, 0.5000, 0.0000)  0.02
Sn (0.5000, 0.5000, 0.5000)  -0.01

# 4
Below is crystalline CuSnIO2 at its relaxed geometry, with properties calculated at the GGA-PBE level.

Values from the calculation:
Its uncorrected formation energy is 0.84 eV/f.u. The value obtained for the density of states at the Fermi level is 3.4 states/eV/f.u. The energy relative to the lowest polymorph listed for this composition comes out at 574.3 meV/atom.

Lattice parameters (Å, degrees): 4.2225 4.2225 5.0570 90.00 90.00 90.00
Last column: magnetic moment on the atom in μB.
Element x y z (fractional)
Cu (0.0000, 0.0000, 0.0000)  -0.09
Sn (0.5000, 0.5000, 0.5000)  0.02
O (0.5000, 0.0000, 0.0000)  -0.32
O (0.0000, 0.5000, 0.0000)  -0.32
I (0.0000, 0.0000, 0.5000)  -0.01

# 5
Below is crystalline CuSnIO2 at its relaxed geometry, with properties calculated at the GGA-PBE level.

Values from the calculation:
Its uncorrected formation energy is -2.03 eV/f.u. The value obtained for the density of states at the Fermi level is 1.8 states/eV/f.u. The energy relative to the lowest polymorph listed for this composition comes out at 0.0 meV/atom.

Lattice parameters (Å, degrees): 3.9421 3.9421 6.6629 90.00 90.00 90.00
Element x y z (fractional)
O (0.5000, 0.0000, 0.0000)
O (0.0000, 0.5000, 0.0000)
I (0.0000, 0.0000, 0.5000)
Sn (0.0000, 0.0000, 0.0000)
Cu (0.5000, 0.5000, 0.5000)

# 6
Below is crystalline CuSnI2O at its relaxed geometry, with properties calculated at the GGA-PBE level.

Values from the calculation:
Its uncorrected formation energy is 0.01 eV/f.u. The value obtained for the density of states at the Fermi level is 0.7 states/eV/f.u. The energy relative to the lowest polymorph listed for this composition comes out at 85.3 meV/atom.

Lattice parameters (Å, degrees): 6.0174 6.0174 4.0057 90.00 90.00 90.00
Element x y z (fractional)
O (0.0000, 0.0000, 0.5000)
Sn (0.0000, 0.0000, 0.0000)
Cu (0.5000, 0.5000, 0.5000)
I (0.0000, 0.5000, 0.0000)
I (0.5000, 0.0000, 0.0000)

# 7
Below is crystalline SrCuI2O at its relaxed geometry, with properties calculated at the GGA-PBE level.

Values from the calculation:
Its uncorrected formation energy is -3.83 eV/f.u. The value obtained for the density of states at the Fermi level is 3.9 states/eV/f.u. The energy relative to the lowest polymorph listed for this composition comes out at 0.0 meV/atom.

Lattice parameters (Å, degrees): 5.7573 5.7573 3.8490 90.00 90.00 90.00
Last column: magnetic moment on the atom in μB.
Element x y z (fractional)
I (0.0000, 0.5000, 0.0000)  0.01
I (0.5000, 0.0000, 0.0000)  0.01
Cu (0.0000, 0.0000, 0.0000)  0.23
Sr (0.5000, 0.5000, 0.5000)  0.00
O (0.0000, 0.0000, 0.5000)  0.30

# 8
Below is crystalline SrCuIO6 at its relaxed geometry, with properties calculated at the GGA-PBE level.

Values from the calculation:
Its uncorrected formation energy is -9.31 eV/f.u.

Lattice parameters (Å, degrees): 5.2046 5.2046 5.4258 90.00 90.00 60.00
Last column: magnetic moment on the atom in μB.
Element x y z (fractional)
O (0.0168, 0.3690, 0.2987)  0.16
O (0.6141, 0.3690, 0.7012)  0.16
O (0.3690, 0.0168, 0.7013)  0.16
O (0.3690, 0.6142, 0.2987)  0.16
O (0.0168, 0.6142, 0.7012)  0.16
O (0.6141, 0.0168, 0.2987)  0.16
I (0.3333, 0.3333, 0.5000)  -0.02
Sr (0.0000, 0.0000, 0.0000)  0.01
Cu (0.6666, 0.6667, 0.5000)  0.88

Repeat the first record exactly.
Below is crystalline CuSiI2O at its relaxed geometry, with properties calculated at the GGA-PBE level.

Values from the calculation:
Its uncorrected formation energy is 1.58 eV/f.u. The value obtained for the density of states at the Fermi level is 5.0 states/eV/f.u. The energy relative to the lowest polymorph listed for this composition comes out at 463.2 meV/atom.

Lattice parameters (Å, degrees): 5.5436 5.5436 3.6606 90.00 90.00 90.00
Last column: magnetic moment on the atom in μB.
Element x y z (fractional)
Cu (0.0000, 0.0000, 0.0000)  0.21
Si (0.5000, 0.5000, 0.5000)  -0.01
I (0.5000, 0.0000, 0.0000)  0.03
I (0.0000, 0.5000, 0.0000)  0.03
O (0.0000, 0.0000, 0.5000)  0.31